# 1
Entry from Alexandria via LeMat-Bulk: a relaxed Nd3Dy5Y crystal (PBE-GGA).

- DFT total energy (eV/atom) = -4.34
- E_form (eV per atom) = 0.5199
- theoretical density (g/cm³) = 6.6
- energy above the most stable polymorph in this dataset (meV/atom) = 361
- total magnetization (μB/f.u.) = 0.0

Cell lengths 9.565, 9.565, 10.013 Å; angles 121.32, 121.32, 73.12 degrees
Positions (direct):
Nd 0.000 0.000 0.000
Nd 0.008 0.008 0.310
Nd 0.478 0.478 0.139
Nd 0.500 0.500 0.500
Nd 0.522 0.522 0.861
Nd 0.992 0.992 0.690
Dy 0.092 0.593 0.749
Dy 0.219 0.219 0.725
Dy 0.243 0.757 0.500
Dy 0.277 0.277 0.462
Dy 0.407 0.908 0.251
Dy 0.593 0.092 0.749
Dy 0.723 0.723 0.538
Dy 0.757 0.243 0.500
Dy 0.781 0.781 0.275
Dy 0.908 0.407 0.251
Y 0.253 0.253 0.099
Y 0.747 0.747 0.901


# 2
Entry from Alexandria via LeMat-Bulk: a relaxed Nd6DyY4 crystal (PBE-GGA).

- DFT total energy (eV/atom) = -5.26
- E_form (eV per atom) = 0.1112
- theoretical density (g/cm³) = 6.1
- energy above the most stable polymorph in this dataset (meV/atom) = 0
- total magnetization (μB/f.u.) = 0.0

Cell lengths 5.705, 5.705, 26.027 Å; angles 90.00, 90.00, 117.92 degrees
Positions (direct):
Nd 0.000 0.000 0.000
Nd 0.000 0.000 0.500
Nd 0.047 0.953 0.750
Nd 0.303 0.697 0.102
Nd 0.303 0.697 0.398
Nd 0.373 0.627 0.683
Nd 0.373 0.627 0.817
Nd 0.627 0.373 0.183
Nd 0.627 0.373 0.317
Nd 0.697 0.303 0.602
Nd 0.697 0.303 0.898
Nd 0.953 0.047 0.250
Dy 0.291 0.709 0.250
Dy 0.709 0.291 0.750
Y 0.038 0.962 0.624
Y 0.038 0.962 0.876
Y 0.349 0.651 0.544
Y 0.349 0.651 0.956
Y 0.651 0.349 0.044
Y 0.651 0.349 0.456
Y 0.962 0.038 0.124
Y 0.962 0.038 0.376


# 3
Entry from Alexandria via LeMat-Bulk: a relaxed NdDyY3 crystal (PBE-GGA).

- DFT total energy (eV/atom) = -5.64
- E_form (eV per atom) = 0.1129
- theoretical density (g/cm³) = 5.8
- energy above the most stable polymorph in this dataset (meV/atom) = 91
- total magnetization (μB/f.u.) = 0.0

Cell lengths 8.794, 8.794, 9.808 Å; angles 95.10, 95.10, 117.78 degrees
Positions (direct):
Nd 0.193 0.293 0.044
Nd 0.293 0.193 0.544
Nd 0.707 0.807 0.456
Nd 0.807 0.707 0.956
Dy 0.018 0.982 0.250
Dy 0.406 0.594 0.750
Dy 0.594 0.406 0.250
Dy 0.982 0.018 0.750
Y 0.020 0.576 0.186
Y 0.123 0.745 0.557
Y 0.255 0.877 0.943
Y 0.295 0.503 0.382
Y 0.424 0.980 0.314
Y 0.497 0.705 0.118
Y 0.503 0.295 0.882
Y 0.576 0.020 0.686
Y 0.705 0.497 0.618
Y 0.745 0.123 0.057
Y 0.877 0.255 0.443
Y 0.980 0.424 0.814


# 4
Entry from Alexandria via LeMat-Bulk: a relaxed Nd2DyY crystal (PBE-GGA).

- DFT total energy (eV/atom) = -5.13
- E_form (eV per atom) = 0.0232
- theoretical density (g/cm³) = 6.6
- energy above the most stable polymorph in this dataset (meV/atom) = 13
- total magnetization (μB/f.u.) = 0.0

Cell lengths 5.816, 7.374, 6.345 Å; angles 90.00, 90.00, 90.00 degrees
Positions (direct):
Nd 0.250 0.000 0.168
Nd 0.250 0.500 0.168
Nd 0.750 0.000 0.832
Nd 0.750 0.500 0.832
Dy 0.250 0.250 0.667
Dy 0.750 0.750 0.333
Y 0.250 0.750 0.664
Y 0.750 0.250 0.336


# 5
Entry from Alexandria via LeMat-Bulk: a relaxed Nd9Dy3Y2 crystal (PBE-GGA).

- DFT total energy (eV/atom) = -4.74
- E_form (eV per atom) = 0.2383
- theoretical density (g/cm³) = 6.5
- total magnetization (μB/f.u.) = 0.0

Cell lengths 9.081, 9.081, 14.071 Å; angles 90.00, 90.00, 120.00 degrees
Positions (direct):
Nd 0.081 0.481 0.250
Nd 0.132 0.726 0.042
Nd 0.132 0.726 0.458
Nd 0.274 0.406 0.042
Nd 0.274 0.406 0.458
Nd 0.400 0.919 0.250
Nd 0.406 0.132 0.542
Nd 0.406 0.132 0.958
Nd 0.481 0.400 0.750
Nd 0.519 0.600 0.250
Nd 0.594 0.868 0.042
Nd 0.594 0.868 0.458
Nd 0.600 0.081 0.750
Nd 0.726 0.594 0.542
Nd 0.726 0.594 0.958
Nd 0.868 0.274 0.542
Nd 0.868 0.274 0.958
Nd 0.919 0.519 0.750
Dy 0.078 0.250 0.750
Dy 0.171 0.922 0.750
Dy 0.250 0.171 0.250
Dy 0.750 0.829 0.750
Dy 0.829 0.078 0.250
Dy 0.922 0.750 0.250
Y 0.333 0.667 0.642
Y 0.333 0.667 0.858
Y 0.667 0.333 0.142
Y 0.667 0.333 0.358


# 6
Entry from Alexandria via LeMat-Bulk: a relaxed Nd7DyY4 crystal (PBE-GGA).

- DFT total energy (eV/atom) = -5.07
- E_form (eV per atom) = 0.2477
- theoretical density (g/cm³) = 6.1
- energy above the most stable polymorph in this dataset (meV/atom) = 109
- total magnetization (μB/f.u.) = 0.0

Cell lengths 6.786, 6.786, 12.836 Å; angles 114.52, 114.52, 53.10 degrees
Positions (direct):
Nd 0.000 0.000 0.000
Nd 0.211 0.211 0.922
Nd 0.244 0.244 0.682
Nd 0.370 0.370 0.501
Nd 0.630 0.630 0.499
Nd 0.756 0.756 0.318
Nd 0.789 0.789 0.078
Dy 0.500 0.500 0.000
Y 0.063 0.063 0.321
Y 0.367 0.367 0.224
Y 0.633 0.633 0.776
Y 0.937 0.937 0.679


# 7
Entry from Alexandria via LeMat-Bulk: a relaxed NdDy2Y6 crystal (PBE-GGA).

- DFT total energy (eV/atom) = -5.80
- E_form (eV per atom) = 0.0660
- theoretical density (g/cm³) = 5.7
- energy above the most stable polymorph in this dataset (meV/atom) = 45
- total magnetization (μB/f.u.) = 0.0

Cell lengths 11.885, 11.885, 5.741 Å; angles 103.92, 103.92, 48.13 degrees
Positions (direct):
Nd 0.250 0.750 0.750
Nd 0.750 0.250 0.250
Dy 0.168 0.332 0.034
Dy 0.332 0.168 0.534
Dy 0.668 0.832 0.466
Dy 0.832 0.668 0.966
Y 0.002 0.167 0.806
Y 0.083 0.583 0.583
Y 0.167 0.002 0.306
Y 0.333 0.498 0.138
Y 0.417 0.917 0.917
Y 0.498 0.333 0.638
Y 0.502 0.667 0.362
Y 0.583 0.083 0.083
Y 0.667 0.502 0.862
Y 0.833 0.998 0.694
Y 0.917 0.417 0.417
Y 0.998 0.833 0.194


# 8
Entry from Alexandria via LeMat-Bulk: a relaxed Nd3Dy2Y crystal (PBE-GGA).

- DFT total energy (eV/atom) = -4.92
- E_form (eV per atom) = 0.0728
- theoretical density (g/cm³) = 6.9
- energy above the most stable polymorph in this dataset (meV/atom) = 55
- total magnetization (μB/f.u.) = 0.0

Cell lengths 9.739, 3.586, 11.677 Å; angles 90.00, 94.25, 90.00 degrees
Positions (direct):
Nd 0.076 0.250 0.120
Nd 0.241 0.250 0.860
Nd 0.401 0.250 0.603
Nd 0.599 0.750 0.397
Nd 0.759 0.750 0.140
Nd 0.924 0.750 0.880
Dy 0.081 0.750 0.620
Dy 0.439 0.250 0.145
Dy 0.561 0.750 0.855
Dy 0.919 0.250 0.380
Y 0.241 0.750 0.355
Y 0.759 0.250 0.645


# 9
Entry from Alexandria via LeMat-Bulk: a relaxed NdDy10Y4 crystal (PBE-GGA).

- DFT total energy (eV/atom) = -4.77
- E_form (eV per atom) = 0.3407
- theoretical density (g/cm³) = 7.1
- total magnetization (μB/f.u.) = 0.0

Cell lengths 8.649, 8.649, 8.649 Å; angles 111.77, 111.77, 104.96 degrees
Positions (direct):
Nd 0.000 0.000 0.000
Dy 0.128 0.454 0.900
Dy 0.228 0.128 0.674
Dy 0.250 0.750 0.500
Dy 0.446 0.772 0.900
Dy 0.454 0.554 0.326
Dy 0.546 0.446 0.674
Dy 0.554 0.228 0.100
Dy 0.750 0.250 0.500
Dy 0.772 0.872 0.326
Dy 0.872 0.546 0.100
Y 0.068 0.335 0.403
Y 0.335 0.932 0.267
Y 0.665 0.068 0.733
Y 0.932 0.665 0.597


# 10
Entry from Alexandria via LeMat-Bulk: a relaxed Nd2DyY6 crystal (PBE-GGA).

- DFT total energy (eV/atom) = -5.81
- E_form (eV per atom) = 0.0686
- theoretical density (g/cm³) = 5.6
- energy above the most stable polymorph in this dataset (meV/atom) = 0
- total magnetization (μB/f.u.) = 0.0

Cell lengths 10.513, 10.513, 10.513 Å; angles 124.32, 69.83, 141.35 degrees
Positions (direct):
Nd 0.083 0.250 0.833
Nd 0.417 0.250 0.167
Nd 0.583 0.750 0.833
Nd 0.917 0.750 0.167
Dy 0.250 0.750 0.500
Dy 0.750 0.250 0.500
Y 0.008 0.831 0.839
Y 0.158 0.332 0.490
Y 0.173 0.665 0.838
Y 0.327 0.165 0.493
Y 0.342 0.832 0.173
Y 0.492 0.331 0.823
Y 0.508 0.669 0.177
Y 0.658 0.168 0.827
Y 0.673 0.835 0.507
Y 0.827 0.335 0.162
Y 0.842 0.668 0.510
Y 0.992 0.169 0.161


# 11
Entry from Alexandria via LeMat-Bulk: a relaxed Nd3Dy2Y7 crystal (PBE-GGA).

- DFT total energy (eV/atom) = -5.65
- E_form (eV per atom) = 0.0844
- theoretical density (g/cm³) = 5.8
- energy above the most stable polymorph in this dataset (meV/atom) = 8
- total magnetization (μB/f.u.) = 0.0

Cell lengths 5.876, 3.591, 18.909 Å; angles 90.00, 93.14, 90.00 degrees
Positions (direct):
Nd 0.000 0.000 0.000
Nd 0.278 0.500 0.634
Nd 0.722 0.500 0.366
Dy 0.211 0.000 0.293
Dy 0.789 0.000 0.707
Y 0.190 0.500 0.144
Y 0.243 0.000 0.462
Y 0.307 0.000 0.823
Y 0.500 0.500 0.000
Y 0.693 0.000 0.177
Y 0.757 0.000 0.538
Y 0.810 0.500 0.856


# 12
Entry from Alexandria via LeMat-Bulk: a relaxed Nd11Dy9Y4 crystal (PBE-GGA).

- DFT total energy (eV/atom) = -4.93
- E_form (eV per atom) = 0.0620
- theoretical density (g/cm³) = 7.0
- total magnetization (μB/f.u.) = 0.0

Cell lengths 15.502, 15.502, 3.666 Å; angles 90.00, 90.00, 113.29 degrees
Positions (direct):
Nd 0.000 0.000 0.000
Nd 0.041 0.404 0.000
Nd 0.161 0.839 0.000
Nd 0.291 0.291 0.000
Nd 0.368 0.632 0.000
Nd 0.404 0.041 0.000
Nd 0.596 0.959 0.000
Nd 0.632 0.368 0.000
Nd 0.709 0.709 0.000
Nd 0.839 0.161 0.000
Nd 0.959 0.596 0.000
Dy 0.067 0.213 0.500
Dy 0.166 0.630 0.500
Dy 0.213 0.067 0.500
Dy 0.370 0.834 0.500
Dy 0.500 0.500 0.500
Dy 0.630 0.166 0.500
Dy 0.787 0.933 0.500
Dy 0.834 0.370 0.500
Dy 0.933 0.787 0.500
Y 0.241 0.444 0.500
Y 0.444 0.241 0.500
Y 0.556 0.759 0.500
Y 0.759 0.556 0.500


What did the sixth record say?
Entry from Alexandria via LeMat-Bulk: a relaxed Nd7DyY4 crystal (PBE-GGA).

- DFT total energy (eV/atom) = -5.07
- E_form (eV per atom) = 0.2477
- theoretical density (g/cm³) = 6.1
- energy above the most stable polymorph in this dataset (meV/atom) = 109
- total magnetization (μB/f.u.) = 0.0

Cell lengths 6.786, 6.786, 12.836 Å; angles 114.52, 114.52, 53.10 degrees
Positions (direct):
Nd 0.000 0.000 0.000
Nd 0.211 0.211 0.922
Nd 0.244 0.244 0.682
Nd 0.370 0.370 0.501
Nd 0.630 0.630 0.499
Nd 0.756 0.756 0.318
Nd 0.789 0.789 0.078
Dy 0.500 0.500 0.000
Y 0.063 0.063 0.321
Y 0.367 0.367 0.224
Y 0.633 0.633 0.776
Y 0.937 0.937 0.679


What is the formula in the eighth record?
Nd3Dy2Y


Which value of total magnetization does entry 6 give?
0.0 μB/f.u.


Which value of DFT total energy does entry 2 give?
-5.26 eV/atom